1.
# La8P3RhI4 (PBE-GGA, optimized geometry)
data_La8P3RhI4
_space_group_name_H-M_alt 'R -3 m'
_space_group_IT_number 166
_space_group_name_Hall '-R 3 2"'
_cell_length_a 8.6303
_cell_length_b 8.6303
_cell_length_c 23.4230
_cell_angle_alpha 90.00
_cell_angle_beta 90.00
_cell_angle_gamma 120.00
loop_
_atom_site_label
_atom_site_fract_x
_atom_site_fract_y
_atom_site_fract_z
La1 0.0000 0.0000 0.2320
La2 0.0030 0.5015 0.2314
P1 0.0000 0.5000 0.5000
Rh1 0.0000 0.0000 0.5000
I1 0.0000 0.0000 0.0000
I2 0.0000 0.5000 0.0000
# raw formation energy	-1313	meV/atom
# V	31.48	Å³/atom
# magnetization	0.000	μB per atom
# calculated total energy	-5.64	eV per atom


2.
# La8PRh3I3 (PBE-GGA, optimized geometry)
data_La8PRh3I3
_space_group_name_H-M_alt 'C 1 2/m 1'
_space_group_IT_number 12
_cell_length_a 14.852
_cell_length_b 8.566
_cell_length_c 9.356
_cell_angle_alpha 90.00
_cell_angle_beta 121.86
_cell_angle_gamma 90.00
loop_
_space_group_symop_operation_xyz
'x,y,z'
'-x,-y,-z'
'-x,y,-z'
'x,-y,z'
'x+1/2,y+1/2,z'
'-x+1/2,-y+1/2,-z'
'-x+1/2,y+1/2,-z'
'x+1/2,-y+1/2,z'
loop_
_atom_site_label
_atom_site_fract_x
_atom_site_fract_y
_atom_site_fract_z
La1 0.021 0.244 0.308
La2 0.231 0.000 0.693
La3 0.235 0.500 0.692
P1 0.000 0.500 0.500
Rh1 0.000 0.000 0.500
Rh2 0.250 0.250 0.500
I1 0.000 0.500 0.000
I2 0.250 0.250 0.000
# raw formation energy	-966	meV/atom
# V	33.70	Å³/atom
# magnetization	0.000	μB per atom
# calculated total energy	-5.74	eV per atom


3.
# La4PRhI2 (PBE-GGA, optimized geometry)
data_La4PRhI2
_space_group_name_H-M_alt 'P 1 2/m 1'
_space_group_IT_number 10
_cell_length_a 7.701
_cell_length_b 4.190
_cell_length_c 8.249
_cell_angle_alpha 90.00
_cell_angle_beta 106.60
_cell_angle_gamma 90.00
loop_
_space_group_symop_operation_xyz
'x,y,z'
'-x,-y,-z'
'-x,y,-z'
'x,-y,z'
loop_
_atom_site_label
_atom_site_fract_x
_atom_site_fract_y
_atom_site_fract_z
La1 0.220 0.000 0.189
La2 0.270 0.500 0.804
P1 0.500 0.000 0.000
Rh1 0.000 0.500 0.000
I1 0.000 0.000 0.500
I2 0.500 0.500 0.500
# raw formation energy	-1187	meV/atom
# V	31.89	Å³/atom
# magnetization	0.000	μB per atom
# calculated total energy	-5.63	eV per atom


4.
# La8PRh3I4 (PBE-GGA, optimized geometry)
data_La8PRh3I4
_space_group_name_H-M_alt 'R -3 m'
_space_group_IT_number 166
_space_group_name_Hall '-R 3 2"'
_cell_length_a 8.5735
_cell_length_b 8.5735
_cell_length_c 24.4758
_cell_angle_alpha 90.00
_cell_angle_beta 90.00
_cell_angle_gamma 120.00
loop_
_atom_site_label
_atom_site_fract_x
_atom_site_fract_y
_atom_site_fract_z
La1 0.0000 0.0000 0.2296
La2 0.0079 0.5040 0.7710
P1 0.0000 0.0000 0.5000
Rh1 0.0000 0.5000 0.5000
I1 0.0000 0.0000 0.0000
I2 0.0000 0.5000 0.0000
# raw formation energy	-1096	meV/atom
# V	32.46	Å³/atom
# magnetization	0.000	μB per atom
# calculated total energy	-5.66	eV per atom


5.
# La8PRu3I4 (PBE-GGA, optimized geometry)
data_La8PRu3I4
_space_group_name_H-M_alt 'C 1 2/m 1'
_space_group_IT_number 12
_cell_length_a 14.798
_cell_length_b 8.547
_cell_length_c 9.532
_cell_angle_alpha 90.00
_cell_angle_beta 121.11
_cell_angle_gamma 90.00
loop_
_space_group_symop_operation_xyz
'x,y,z'
'-x,-y,-z'
'-x,y,-z'
'x,-y,z'
'x+1/2,y+1/2,z'
'-x+1/2,-y+1/2,-z'
'-x+1/2,y+1/2,-z'
'x+1/2,-y+1/2,z'
loop_
_atom_site_label
_atom_site_fract_x
_atom_site_fract_y
_atom_site_fract_z
La1 0.026 0.241 0.318
La2 0.232 0.000 0.695
La3 0.233 0.500 0.682
P1 0.000 0.500 0.500
Ru1 0.000 0.000 0.500
Ru2 0.250 0.250 0.500
I1 0.000 0.000 0.000
I2 0.000 0.500 0.000
I3 0.250 0.250 0.000
# raw formation energy	-937	meV/atom
# V	32.26	Å³/atom
# magnetization	0.000	μB per atom
# calculated total energy	-5.87	eV per atom


6.
# La8PRu3I3 (PBE-GGA, optimized geometry)
data_La8PRu3I3
_space_group_name_H-M_alt 'R -3 m'
_space_group_IT_number 166
_space_group_name_Hall '-R 3 2"'
_cell_length_a 8.5354
_cell_length_b 8.5354
_cell_length_c 24.0402
_cell_angle_alpha 90.00
_cell_angle_beta 90.00
_cell_angle_gamma 120.00
loop_
_atom_site_label
_atom_site_fract_x
_atom_site_fract_y
_atom_site_fract_z
La1 0.0000 0.0000 0.2319
La2 0.0119 0.5059 0.7715
P1 0.0000 0.0000 0.5000
Ru1 0.0000 0.5000 0.5000
I1 0.0000 0.5000 0.0000
# raw formation energy	-792	meV/atom
# V	33.71	Å³/atom
# magnetization	0.000	μB per atom
# calculated total energy	-5.95	eV per atom


7.
# La6P2RuI3 (PBE-GGA, optimized geometry)
data_La6P2RuI3
_space_group_name_H-M_alt 'C 1 2/m 1'
_space_group_IT_number 12
_cell_length_a 7.567
_cell_length_b 12.939
_cell_length_c 8.177
_cell_angle_alpha 90.00
_cell_angle_beta 108.27
_cell_angle_gamma 90.00
loop_
_space_group_symop_operation_xyz
'x,y,z'
'-x,-y,-z'
'-x,y,-z'
'x,-y,z'
'x+1/2,y+1/2,z'
'-x+1/2,-y+1/2,-z'
'-x+1/2,y+1/2,-z'
'x+1/2,-y+1/2,z'
loop_
_atom_site_label
_atom_site_fract_x
_atom_site_fract_y
_atom_site_fract_z
La1 0.223 0.159 0.190
La2 0.233 0.500 0.200
P1 0.000 0.333 0.000
Ru1 0.000 0.000 0.000
I1 0.000 0.172 0.500
I2 0.000 0.500 0.500
# raw formation energy	-1190	meV/atom
# V	31.68	Å³/atom
# magnetization	0.000	μB per atom
# calculated total energy	-5.72	eV per atom


8.
# La6P2S3I (PBE-GGA, optimized geometry)
data_La6P2S3I
_space_group_name_H-M_alt 'C 1 2/m 1'
_space_group_IT_number 12
_cell_length_a 18.515
_cell_length_b 4.244
_cell_length_c 8.597
_cell_angle_alpha 90.00
_cell_angle_beta 102.60
_cell_angle_gamma 90.00
loop_
_space_group_symop_operation_xyz
'x,y,z'
'-x,-y,-z'
'-x,y,-z'
'x,-y,z'
'x+1/2,y+1/2,z'
'-x+1/2,-y+1/2,-z'
'-x+1/2,y+1/2,-z'
'x+1/2,-y+1/2,z'
loop_
_atom_site_label
_atom_site_fract_x
_atom_site_fract_y
_atom_site_fract_z
La1 0.003 0.000 0.282
La2 0.168 0.500 0.580
La3 0.179 0.500 0.096
P1 0.167 0.000 0.332
S1 0.000 0.500 0.500
S2 0.162 0.000 0.834
I1 0.000 0.500 0.000
# raw formation energy	-1801	meV/atom
# V	27.47	Å³/atom
# magnetization	0.000	μB per atom
# calculated total energy	-6.33	eV per atom